A.
AlBP3 (GGA-PBE, relaxed); Fermi-level density of states = 3.3 states/eV/cell; M_tot = 0.00 μB per formula unit
1.0
4.1376 0.0000 0.0000
0.0000 4.1376 0.0000
0.0000 0.0000 4.1376
Al B P
1 1 3
Direct
0.0000 0.0000 0.0000
0.5000 0.5000 0.5000
0.0000 0.5000 0.5000
0.5000 0.0000 0.5000
0.5000 0.5000 0.0000

=====

B.
AlBP3 (GGA-PBE, relaxed); Fermi-level density of states = 4.0 states/eV/cell; M_tot = 0.00 μB per formula unit
1.0
4.6071 0.0000 0.0000
0.0000 4.6071 0.0000
0.0000 0.0000 4.6071
Al B P
1 1 3
Direct
0.0000 0.0000 0.0000
0.5000 0.5000 0.5000
0.0000 0.0000 0.5000
0.0000 0.5000 0.0000
0.5000 0.0000 0.0000

=====

Stability summary: most stable A, least stable B.

=====

A.
AlBP2S (GGA-PBE, relaxed); Fermi-level density of states = 3.0 states/eV/cell; M_tot = 0.00 μB per formula unit
1.0
4.1320 0.0000 0.0000
0.0000 4.1320 0.0000
0.0000 0.0000 4.2311
Al B P S
1 1 2 1
Direct
0.0000 0.0000 0.0000
0.5000 0.5000 0.5000
0.0000 0.5000 0.5000
0.5000 0.0000 0.5000
0.5000 0.5000 0.0000

=====

B.
AlBP2S (GGA-PBE, relaxed); Fermi-level density of states = 4.1 states/eV/cell; M_tot = 0.00 μB per formula unit
1.0
4.6275 0.0000 0.0000
0.0000 4.6275 0.0000
0.0000 0.0000 4.6053
Al B P S
1 1 2 1
Direct
0.0000 0.0000 0.0000
0.5000 0.5000 0.5000
0.0000 0.5000 0.0000
0.5000 0.0000 0.0000
0.0000 0.0000 0.5000

=====

Stability summary: most stable A, least stable B.

=====

A.
Al2BPb (GGA-PBE, relaxed); Fermi-level density of states = 1.6 states/eV/cell; M_tot = 0.00 μB per formula unit
1.0
-3.1311 3.1311 4.4237
3.1311 -3.1311 4.4237
3.1311 3.1311 -4.4237
Al B Pb
4 2 2
Direct
0.3750 0.2394 0.3644
0.7606 0.1250 0.1356
0.8750 0.0106 0.6356
0.9894 0.6250 0.8644
0.0000 0.0000 0.0000
0.7500 0.2500 0.5000
0.2500 0.7500 0.5000
0.5000 0.5000 0.0000

=====

B.
Al2BPb (GGA-PBE, relaxed); Fermi-level density of states = 1.6 states/eV/cell; M_tot = 0.00 μB per formula unit
1.0
0.0000 3.3484 3.3484
3.3484 0.0000 3.3484
3.3484 3.3484 0.0000
Al B Pb
2 1 1
Direct
0.2500 0.2500 0.2500
0.7500 0.7500 0.7500
0.0000 0.0000 0.0000
0.5000 0.5000 0.5000

=====

Stability summary: most stable A, least stable B.

=====

A.
AlBPb2 (GGA-PBE, relaxed); Fermi-level density of states = 1.9 states/eV/cell; M_tot = 0.00 μB per formula unit
1.0
0.0000 3.5498 3.5498
3.5498 0.0000 3.5498
3.5498 3.5498 0.0000
Al B Pb
1 1 2
Direct
0.0000 0.0000 0.0000
0.5000 0.5000 0.5000
0.2500 0.2500 0.2500
0.7500 0.7500 0.7500

=====

B.
AlBPb2 (GGA-PBE, relaxed); Fermi-level density of states = 1.9 states/eV/cell; M_tot = 0.00 μB per formula unit
1.0
-3.0958 3.0958 5.5386
3.0958 -3.0958 5.5386
3.0958 3.0958 -5.5386
Al B Pb
2 2 4
Direct
0.0000 0.0000 0.0000
0.7500 0.2500 0.5000
0.2500 0.7500 0.5000
0.5000 0.5000 0.0000
0.1877 0.6250 0.0627
0.3750 0.4377 0.5627
0.5623 0.1250 0.9373
0.8750 0.8123 0.4373

=====

Stability summary: most stable B, least stable A.

=====

A.
AlB2Pb (GGA-PBE, relaxed); Fermi-level density of states = 2.3 states/eV/cell; M_tot = 0.00 μB per formula unit
1.0
0.0000 3.1895 3.1895
3.1895 0.0000 3.1895
3.1895 3.1895 0.0000
Al B Pb
1 2 1
Direct
0.0000 0.0000 0.0000
0.5000 0.5000 0.5000
0.7500 0.7500 0.7500
0.2500 0.2500 0.2500

=====

B.
AlB2Pb (GGA-PBE, relaxed); Fermi-level density of states = 1.9 states/eV/cell; M_tot = 0.00 μB per formula unit
1.0
0.0000 3.1341 3.1341
3.1341 0.0000 3.1341
3.1341 3.1341 0.0000
Al B Pb
1 2 1
Direct
0.0000 0.0000 0.0000
0.2500 0.2500 0.2500
0.7500 0.7500 0.7500
0.5000 0.5000 0.5000

=====

Stability summary: most stable B, least stable A.

=====

A.
Sc2AlBPb (GGA-PBE, relaxed); Fermi-level density of states = 1.5 states/eV/cell; M_tot = 0.00 μB per formula unit
1.0
4.7643 0.0000 0.0000
0.0000 4.7643 0.0000
0.0000 0.0000 4.1726
Sc Al B Pb
2 1 1 1
Direct
0.0000 0.5000 0.0000
0.5000 0.0000 0.0000
0.0000 0.0000 0.5000
0.0000 0.0000 0.0000
0.5000 0.5000 0.5000

=====

B.
Sc2AlBPb (GGA-PBE, relaxed); Fermi-level density of states = 2.8 states/eV/cell; M_tot = 0.00 μB per formula unit
1.0
5.3180 0.0000 0.0000
0.0000 5.3180 0.0000
0.0000 0.0000 3.9150
Sc Al B Pb
2 1 1 1
Direct
0.0000 0.5000 0.0000
0.5000 0.0000 0.0000
0.0000 0.0000 0.0000
0.0000 0.0000 0.5000
0.5000 0.5000 0.5000

=====

Stability summary: most stable A, least stable B.

=====

A.
AlB3Pd (GGA-PBE, relaxed); Fermi-level density of states = 2.5 states/eV/cell; M_tot = 0.00 μB per formula unit
1.0
4.1170 0.0000 0.0000
0.0000 4.1170 0.0000
0.0000 0.0000 4.1170
Al B Pd
1 3 1
Direct
0.0000 0.0000 0.0000
0.0000 0.5000 0.5000
0.5000 0.0000 0.5000
0.5000 0.5000 0.0000
0.5000 0.5000 0.5000

=====

B.
AlB3Pd (GGA-PBE, relaxed); Fermi-level density of states = 2.3 states/eV/cell; M_tot = 0.00 μB per formula unit
1.0
4.0923 0.0000 0.0000
0.0000 4.0923 0.0000
0.0000 0.0000 4.0923
Al B Pd
1 3 1
Direct
0.0000 0.0000 0.0000
0.0000 0.0000 0.5000
0.0000 0.5000 0.0000
0.5000 0.0000 0.0000
0.5000 0.5000 0.5000

=====

Stability summary: most stable A, least stable B.